Entry 1:
Density functional theory data (PBE-GGA) for SmErRuPb after structural relaxation.

The space group is F-43m (No. 216) and the conventional cell measures 7.2851, 7.2851 and 7.2851 Å, with angles of 90.00, 90.00 and 90.00 degrees. The distinct sites, in fractional coordinates, are Sm at (0.0000, 0.0000, 0.0000), Er at (0.0000, 0.0000, 0.5000), Ru at (0.2500, 0.2500, 0.7500) and Pb at (0.2500, 0.2500, 0.2500).

The value obtained for the total DFT energy (no corrections) is -5.80 eV/atom. As for the distance to the lowest polymorph of the same formula: 0.205 eV/atom. Its crystal system is cubic. The formation energy comes out at -237 meV/atom. The value obtained for the density is 10.75 g cm⁻³.

***

Entry 2:
Density functional theory data (PBE-GGA) for SmErRuPb after structural relaxation.

The space group is P4mm (No. 99) and the conventional cell measures 3.4386, 3.4386 and 8.3303 Å, with angles of 90.00, 90.00 and 90.00 degrees. The distinct sites, in fractional coordinates, are Sm at (0.0000, 0.0000, 0.0000), Er at (0.0000, 0.0000, 0.5968), Ru at (0.5000, 0.5000, 0.7881) and Pb at (0.5000, 0.5000, 0.3067).

The value obtained for the total DFT energy (no corrections) is -6.01 eV/atom. As for the distance to the lowest polymorph of the same formula: 0.000 eV/atom. Its crystal system is tetragonal. The formation energy comes out at -442 meV/atom. The value obtained for the density is 10.55 g cm⁻³.

***

Entry 3:
Density functional theory data (PBE-GGA) for TbErRuPb after structural relaxation.

The space group is F-43m (No. 216) and the conventional cell measures 7.2239, 7.2239 and 7.2239 Å, with angles of 90.00, 90.00 and 90.00 degrees. The distinct sites, in fractional coordinates, are Tb at (0.0000, 0.0000, 0.0000), Er at (0.0000, 0.0000, 0.5000), Ru at (0.2500, 0.2500, 0.2500) and Pb at (0.2500, 0.2500, 0.7500).

The value obtained for the total DFT energy (no corrections) is -5.82 eV/atom. Its crystal system is cubic. The formation energy comes out at -271 meV/atom. The value obtained for the density is 11.18 g cm⁻³.

***

Entry 4:
Density functional theory data (PBE-GGA) for ErTmRuPb after structural relaxation.

The space group is F-43m (No. 216) and the conventional cell measures 7.1608, 7.1608 and 7.1608 Å, with angles of 90.00, 90.00 and 90.00 degrees. The distinct sites, in fractional coordinates, are Er at (0.0000, 0.0000, 0.0000), Tm at (0.0000, 0.0000, 0.5000), Ru at (0.2500, 0.2500, 0.7500) and Pb at (0.2500, 0.2500, 0.2500).

The value obtained for the total DFT energy (no corrections) is -5.79 eV/atom. Its crystal system is cubic. The formation energy comes out at -288 meV/atom. The value obtained for the density is 11.66 g cm⁻³.